[1]
Crystalline LaNd7Er2 at its relaxed geometry, computed with GGA-PBE.

## Properties
DOS(E_F): 15.47 states/eV/f.u.
energy above the lowest structure with this stoichiometry: 0.00 eV/f.u.
formation enthalpy at 0 K: 75 meV/atom

abc: 6.607 6.735 8.633
angles: 73.08 71.67 83.58
Space group P-1 (No. 2)
Symmetry-distinct sites (fractional):
La 0.000 0.000 0.000 [1 per cell]
Nd 0.000 0.000 0.500 [1 per cell]
Nd 0.205 0.595 0.768 [2 per cell]
Nd 0.227 0.542 0.342 [2 per cell]
Nd 0.422 0.236 0.062 [2 per cell]
Er 0.423 0.144 0.636 [2 per cell]



[2]
Crystalline La6Nd12Er at its relaxed geometry, computed with GGA-PBE.

## Properties
DOS(E_F): 30.64 states/eV/f.u.
energy above the lowest structure with this stoichiometry: 0.00 eV/f.u.
formation enthalpy at 0 K: 115 meV/atom

abc: 12.4241 12.4241 15.3307
angles: 90.00 90.00 120.00
Space group R-3 (No. 148, hexagonal axes)
Symmetry-distinct sites (fractional):
La 0.0137 0.4212 0.1867 [18 per cell]
Nd 0.0048 0.1725 0.3107 [18 per cell]
Nd 0.0509 0.8535 0.9166 [18 per cell]
Er 0.0000 0.0000 0.5000 [3 per cell]



[3]
Crystalline LaNd4Er5 at its relaxed geometry, computed with GGA-PBE.

## Properties
DOS(E_F): 14.27 states/eV/f.u.
formation enthalpy at 0 K: 20 meV/atom

abc: 3.627 3.627 25.104
angles: 90.00 90.00 90.00
Space group P4/mmm (No. 123)
Symmetry-distinct sites (fractional):
La 0.000 0.000 0.000 [1 per cell]
Nd 0.000 0.000 0.201 [2 per cell]
Nd 0.000 0.000 0.400 [2 per cell]
Er 0.500 0.500 0.102 [2 per cell]
Er 0.500 0.500 0.301 [2 per cell]
Er 0.500 0.500 0.500 [1 per cell]



[4]
Crystalline La4Nd2Er3 at its relaxed geometry, computed with GGA-PBE.

## Properties
DOS(E_F): 16.09 states/eV/f.u.
energy above the lowest structure with this stoichiometry: 0.00 eV/f.u.
formation enthalpy at 0 K: 56 meV/atom

abc: 3.6395 3.6395 27.3984
angles: 90.00 90.00 120.00
Space group P3m1 (No. 156)
Symmetry-distinct sites (fractional):
La 0.0000 0.0000 0.0000 [1 per cell]
La 0.0000 0.0000 0.2112 [1 per cell]
La 0.3333 0.6667 0.3302 [1 per cell]
La 0.3333 0.6667 0.5429 [1 per cell]
Nd 0.0000 0.0000 0.6592 [1 per cell]
Nd 0.0000 0.0000 0.8669 [1 per cell]
Er 0.0000 0.0000 0.4362 [1 per cell]
Er 0.3333 0.6667 0.1047 [1 per cell]
Er 0.3333 0.6667 0.7641 [1 per cell]



[5]
Crystalline La3Nd2Er7 at its relaxed geometry, computed with GGA-PBE.

## Properties
DOS(E_F): 17.91 states/eV/f.u.
formation enthalpy at 0 K: 93 meV/atom

abc: 6.379 3.559 17.679
angles: 90.00 96.47 90.00
Space group P2/m (No. 10)
Symmetry-distinct sites (fractional):
La 0.000 0.000 0.000 [1 per cell]
La 0.043 0.500 0.660 [2 per cell]
Nd 0.450 0.000 0.325 [2 per cell]
Er 0.230 0.500 0.164 [2 per cell]
Er 0.247 0.000 0.498 [2 per cell]
Er 0.275 0.000 0.836 [2 per cell]
Er 0.500 0.500 0.000 [1 per cell]



[6]
Crystalline LaNdEr2 at its relaxed geometry, computed with GGA-PBE.

## Properties
DOS(E_F): 6.56 states/eV/f.u.
energy above the lowest structure with this stoichiometry: 1.75 eV/f.u.
formation enthalpy at 0 K: 452 meV/atom

abc: 6.142 5.569 8.874
angles: 90.00 98.23 90.00
Space group P2/m (No. 10)
Symmetry-distinct sites (fractional):
La 0.000 0.000 0.000 [1 per cell]
La 0.500 0.500 0.500 [1 per cell]
Nd 0.101 0.500 0.711 [2 per cell]
Er 0.239 0.000 0.398 [2 per cell]
Er 0.339 0.500 0.127 [2 per cell]



[7]
Crystalline La8Nd2Er at its relaxed geometry, computed with GGA-PBE.

## Properties
DOS(E_F): 15.17 states/eV/f.u.
energy above the lowest structure with this stoichiometry: 1.17 eV/f.u.
formation enthalpy at 0 K: 121 meV/atom

abc: 9.300 16.959 6.097
angles: 90.00 123.83 90.00
Space group C2/m (No. 12)
Symmetry-distinct sites (fractional):
La 0.000 0.205 0.000 [4 per cell]
La 0.081 0.500 0.799 [4 per cell]
La 0.213 0.117 0.683 [8 per cell]
Nd 0.000 0.309 0.500 [4 per cell]
Er 0.000 0.000 0.000 [2 per cell]



[8]
Crystalline La3Nd4Er3 at its relaxed geometry, computed with GGA-PBE.

## Properties
DOS(E_F): 12.67 states/eV/f.u.
formation enthalpy at 0 K: 83 meV/atom

abc: 3.838 13.574 13.493
angles: 90.00 90.00 90.00
Space group Amm2 (No. 38)
Symmetry-distinct sites (fractional):
La 0.000 0.000 0.000 [2 per cell]
La 0.500 0.244 0.582 [4 per cell]
Nd 0.500 0.000 0.205 [2 per cell]
Nd 0.500 0.000 0.457 [2 per cell]
Nd 0.500 0.130 0.827 [4 per cell]
Er 0.000 0.000 0.659 [2 per cell]
Er 0.000 0.169 0.331 [4 per cell]



no.,total magnetization (μB per atom)
1,0.000
2,0.000
3,0.000
4,0.000
5,0.000
6,0.000
7,0.000
8,0.000